# 1
Here is crystalline Sc11Ga9Rh4 at its relaxed geometry from Alexandria. Energies are from PBE-GGA.

Unit cell a=3.3520 b=11.9816 c=11.9816 alpha=112.59 beta=90.00 gamma=90.00
Last column: nearest neighbours and their distance in Å.
Atoms (fractional coordinates):
Sc (0.0000, 0.8366, 0.1634)  8 Ga 2.96-3.12, 3 Sc 3.18-3.26
Sc (0.0000, 0.3706, 0.6294)  4 Rh 2.71
Sc (0.0000, 0.0664, 0.4109)  2 Rh 2.60, 2 Ga 2.91
Sc (0.0000, 0.0000, 0.0000)  8 Ga 2.90
Sc (0.0000, 0.1634, 0.8366)  8 Ga 2.96-3.12, 3 Sc 3.18-3.26
Sc (0.0000, 0.6963, 0.6963)  4 Rh 2.69
Sc (0.0000, 0.9336, 0.5891)  2 Rh 2.60, 2 Ga 2.91
Sc (0.0000, 0.6294, 0.3706)  4 Rh 2.71
Sc (0.0000, 0.4109, 0.0664)  2 Rh 2.60, 2 Ga 2.91
Sc (0.0000, 0.3037, 0.3037)  4 Rh 2.69
Sc (0.0000, 0.5891, 0.9336)  2 Rh 2.60, 2 Ga 2.91
Ga (0.5000, 0.1590, 0.6313)  1 Rh 2.76, 1 Ga 2.79, 8 Sc 2.96-3.05
Ga (0.5000, 0.8410, 0.3687)  1 Rh 2.76, 1 Ga 2.79, 8 Sc 2.96-3.05
Ga (0.5000, 0.7859, 0.9289)  1 Rh 2.76, 1 Ga 2.85, 6 Sc 2.90-3.07
Ga (0.5000, 0.3687, 0.8410)  1 Rh 2.76, 1 Ga 2.79, 8 Sc 2.96-3.05
Ga (0.5000, 0.5000, 0.5000)  4 Rh 2.89, 8 Sc 3.08-3.10
Ga (0.5000, 0.0711, 0.2141)  1 Rh 2.76, 1 Ga 2.85, 6 Sc 2.90-3.07
Ga (0.5000, 0.9289, 0.7859)  1 Rh 2.76, 1 Ga 2.85, 6 Sc 2.90-3.07
Ga (0.5000, 0.6313, 0.1590)  1 Rh 2.76, 1 Ga 2.79, 8 Sc 2.96-3.05
Ga (0.5000, 0.2141, 0.0711)  1 Rh 2.76, 1 Ga 2.85, 6 Sc 2.90-3.07
Rh (0.5000, 0.4465, 0.2431)  6 Sc 2.60-2.71, 3 Ga 2.76-2.89
Rh (0.5000, 0.2431, 0.4465)  6 Sc 2.60-2.71, 3 Ga 2.76-2.89
Rh (0.5000, 0.7569, 0.5535)  6 Sc 2.60-2.71, 3 Ga 2.76-2.89
Rh (0.5000, 0.5535, 0.7569)  6 Sc 2.60-2.71, 3 Ga 2.76-2.89



# 2
Here is crystalline Sc2GaRh3 at its relaxed geometry from Alexandria. Energies are from PBE-GGA.

Unit cell a=4.4594 b=4.4594 c=10.9491 alpha=90.00 beta=90.00 gamma=120.00
Last column: nearest neighbours and their distance in Å.
Atoms (fractional coordinates):
Sc (0.0000, 0.0000, 0.0000)  8 Rh 2.74-2.78
Sc (0.0000, 0.0000, 0.5000)  8 Rh 2.69-2.72
Sc (0.6667, 0.3333, 0.8229)  8 Rh 2.66-2.88
Sc (0.3333, 0.6667, 0.1771)  8 Rh 2.66-2.88
Rh (0.0000, 0.0000, 0.2539)  5 Sc 2.69-2.78, 3 Ga 2.72
Rh (0.6667, 0.3333, 0.0862)  1 Ga 2.73, 7 Sc 2.74-2.88
Rh (0.0000, 0.0000, 0.7461)  5 Sc 2.69-2.78, 3 Ga 2.72
Rh (0.6667, 0.3333, 0.5801)  4 Sc 2.66-2.72, 4 Ga 2.68-2.74
Rh (0.3333, 0.6667, 0.4199)  4 Sc 2.66-2.72, 4 Ga 2.68-2.74
Rh (0.3333, 0.6667, 0.9138)  1 Ga 2.73, 7 Sc 2.74-2.88
Ga (0.6667, 0.3333, 0.3352)  8 Rh 2.68-2.74
Ga (0.3333, 0.6667, 0.6649)  8 Rh 2.68-2.74



| no. | DFT total energy (eV per atom) |
| --- | --- |
| 1 | -6.0138 |
| 2 | -7.2740 |